GaMoC2O | PBE with a Hubbard U | relaxed

Cell: 3.877 4.073 3.877 Å, 90.00 90.00 90.00°
Each line ends with the local moment (μB).
Positions (direct):
C  0.000  0.000  0.500  0.32
C  0.500  0.000  0.000  0.37
Mo  0.500  0.500  0.500  -3.07
O  0.000  0.500  0.000  0.30
Ga  0.000  0.000  0.000  -0.01

NdCo2F8 | PBE with a Hubbard U | relaxed

Cell: 5.982 5.982 6.788 Å, 116.15 116.15 90.00°
Each line ends with the local moment (μB).
Positions (direct):
Co  0.750  0.250  0.500  3.02
Co  0.250  0.750  0.500  3.02
Nd  0.500  0.500  0.000  0.02
F  0.745  0.325  0.258  0.10
F  0.068  0.488  0.742  0.10
F  0.675  0.255  0.742  0.10
F  0.255  0.068  0.742  0.10
F  0.512  0.932  0.258  0.10
F  0.932  0.745  0.258  0.10
F  0.325  0.512  0.258  0.10
F  0.488  0.675  0.742  0.10

What did we get for raw total energy? Answer: -25.7, -58.9 eV/cell, in the order shown.